1.
# Si2GeMoPt2

A geometry-optimized Si2GeMoPt2 structure (PBE-GGA, OQMD).

a b c (Å): 3.5457 9.3506 5.5696
angles (deg): 90.00 90.00 90.00
With the nearest neighbours (Å) after each atom.
Atoms (fractional coordinates):
Si1 0.0000 0.0623 0.0000  2 Pt 2.44, 4 Mo 2.55-2.57
Si2 0.0000 0.2752 0.4832  4 Pt 2.45-2.68, 2 Mo 2.61
Si3 0.0000 0.7248 0.9832  4 Pt 2.45-2.68, 2 Mo 2.61
Si4 0.0000 0.9377 0.5000  2 Pt 2.44, 4 Mo 2.55-2.57
Ge1 0.5000 0.3746 0.8327  5 Pt 2.49-2.72, 1 Mo 2.68
Ge2 0.5000 0.6254 0.3327  5 Pt 2.49-2.72, 1 Mo 2.68
Mo1 0.5000 0.1044 0.6735  6 Si 2.55-2.61, 1 Ge 2.68
Mo2 0.5000 0.8956 0.1735  6 Si 2.55-2.61, 1 Ge 2.68
Pt1 0.0000 0.4611 0.1726  2 Si 2.45-2.68, 4 Ge 2.51-2.72
Pt2 0.0000 0.5389 0.6726  2 Si 2.45-2.68, 4 Ge 2.51-2.72
Pt3 0.5000 0.2064 0.1789  4 Si 2.44-2.54, 1 Ge 2.49
Pt4 0.5000 0.7936 0.6789  4 Si 2.44-2.54, 1 Ge 2.49

As for the space group: No. 26. The volume comes out at 185 Å³ per cell. For the energy above the most stable polymorph in this dataset, the calculation gives 0.001 eV per atom.

2.
# Rb4GeTe6Mo

A geometry-optimized Rb4GeTe6Mo structure (PBE-GGA, OQMD).

a b c (Å): 7.5389 8.0015 10.1098
angles (deg): 71.84 72.35 67.98
With the nearest neighbours (Å) after each atom.
Atoms (fractional coordinates):
Rb1 0.0000 0.0000 0.0000  6 Te 3.65-3.94
Rb2 0.2185 0.3480 0.2241  6 Te 3.73-3.96
Rb3 0.5133 0.2980 0.5788  5 Te 3.69-3.97
Rb4 0.7549 0.6193 0.7818  6 Te 3.72-4.03
Ge1 0.2274 0.8731 0.5846  4 Te 2.62-2.82
Te1 0.0301 0.2140 0.6159  1 Ge 2.64
Te2 0.1675 0.7786 0.3589  1 Mo 2.57, 1 Ge 2.82
Te3 0.2375 0.6153 0.8208  1 Ge 2.62
Te4 0.5077 0.0110 0.9784  1 Mo 2.56
Te5 0.5942 0.8436 0.4028  1 Mo 2.58, 1 Ge 2.79
Te6 0.7097 0.4257 0.1792  1 Mo 2.56
Mo1 0.5144 0.7573 0.2070  4 Te 2.56-2.58

As for the space group: No. 1. The volume comes out at 525 Å³ per cell. The value obtained for the total energy is -3.79 eV/atom.